A geometry-optimized GaOF structure, computed with PBE.

```
data_GaOF
_chemical_formula_sum 'Ga4 O4 F4'
_symmetry_space_group_name_H-M 'P 1'
_symmetry_Int_Tables_number 1
_cell_length_a 5.575
_cell_length_b 5.968
_cell_length_c 6.152
_cell_angle_alpha 90.00
_cell_angle_beta 116.80
_cell_angle_gamma 90.00
loop_
_symmetry_equiv_pos_as_xyz
'x,y,z'
loop_
_atom_site_label
_atom_site_type_symbol
_atom_site_fract_x
_atom_site_fract_y
_atom_site_fract_z
Ga1 Ga 0.096 0.166 0.389
Ga2 Ga 0.404 0.666 0.611
Ga3 Ga 0.596 0.334 0.389
Ga4 Ga 0.904 0.834 0.611
O1 O 0.381 0.354 0.572
O2 O 0.119 0.854 0.428
O3 O 0.619 0.646 0.428
O4 O 0.881 0.146 0.572
F1 F 0.282 0.176 0.167
F2 F 0.718 0.824 0.833
F3 F 0.782 0.324 0.167
F4 F 0.218 0.676 0.833
```

Output
Symmetry: No. 14
Raw formation energy: -6.3 eV per formula unit